Entry from the Alexandria database: a geometry-optimized CaZrTl2 structure (GGA-PBEsol).

Lattice parameters (Å, degrees): 3.3079 4.1765 6.9748 90.00 90.00 90.00
With the nearest neighbours (Å) after each atom.
Atoms (fractional coordinates):
Tl1 0.0000 0.0000 0.7667  4 Zr 3.12, 4 Ca 3.25, 3 Tl 3.25-3.31
Tl2 0.0000 0.0000 0.2333  4 Zr 3.12, 4 Ca 3.25, 3 Tl 3.25-3.31
Ca1 0.5000 0.5000 0.5000  8 Tl 3.25, 2 Ca 3.31, 2 Zr 3.49
Zr1 0.5000 0.5000 0.0000  8 Tl 3.12, 2 Zr 3.31, 2 Ca 3.49

## Properties
space-group type	Pmmm (47)
calculated density	9.31	g/cm3
uncorrected energy	-4.369	eV per atom

---

Entry from the Alexandria database: a geometry-optimized CaZr2Tl2 structure (GGA-PBEsol).

Lattice parameters (Å, degrees): 4.2539 4.2539 7.6656 106.11 106.11 90.00
With the nearest neighbours (Å) after each atom.
Atoms (fractional coordinates):
Tl1 0.3989 0.3989 0.7978  1 Tl 2.85, 4 Zr 2.99
Tl2 0.6011 0.6011 0.2022  1 Tl 2.85, 4 Zr 2.99
Ca1 0.0000 0.0000 0.0000  8 Tl 3.33
Zr1 0.2500 0.7500 0.5000  4 Tl 2.99, 4 Zr 3.01
Zr2 0.7500 0.2500 0.5000  4 Tl 2.99, 4 Zr 3.01

## Properties
space-group type	I4/mmm (139)
calculated density	8.22	g/cm3
uncorrected energy	-5.137	eV per atom

---

Entry from the Alexandria database: a geometry-optimized Ca2ZrTl structure (GGA-PBEsol).

Lattice parameters (Å, degrees): 3.3313 6.0128 6.0128 114.87 90.00 90.00
With the nearest neighbours (Å) after each atom.
Atoms (fractional coordinates):
Tl1 0.5000 0.0000 0.0000  2 Zr 3.24, 2 Tl 3.33, 8 Ca 3.44
Ca1 0.0000 0.5000 0.0000  4 Ca 3.24-3.33, 4 Tl 3.44, 4 Zr 3.44
Ca2 0.0000 0.0000 0.5000  4 Ca 3.24-3.33, 4 Zr 3.44, 4 Tl 3.44
Zr1 0.5000 0.5000 0.5000  2 Tl 3.24, 2 Zr 3.33, 8 Ca 3.44

## Properties
space-group type	Cmmm (65)
polymorph energy (0 for the lowest one)	0.000	eV/atom
calculated density	5.71	g/cm3
uncorrected energy	-3.886	eV per atom

---

Entry from the Alexandria database: a geometry-optimized Ca2W structure (GGA-PBEsol).

Lattice parameters (Å, degrees): 3.2914 3.8062 14.7588 90.00 96.40 90.00
With the nearest neighbours (Å) after each atom.
Atoms (fractional coordinates):
Ca1 0.6584 0.7500 0.3168  4 W 3.07-3.39, 2 Ca 3.29
Ca2 0.9464 0.7500 0.8928  4 Ca 3.29-3.68
Ca3 0.0536 0.2500 0.1072  4 Ca 3.29-3.68
Ca4 0.3416 0.2500 0.6832  4 W 3.07-3.39, 2 Ca 3.29
W1 0.2594 0.7500 0.5188  4 W 2.58
W2 0.7406 0.2500 0.4812  4 W 2.58

## Properties
space-group type	Cmcm (63)
polymorph energy (0 for the lowest one)	0.000	eV/atom
calculated density	4.77	g/cm3
uncorrected energy	-5.458	eV per atom

---

no.,formation energy from the elements (eV per atom),D(E_F) (states/eV/f.u.)
1,-0.25,2.572
2,-0.02,6.250
3,0.11,4.553
4,0.57,2.696